Compound: SrLi2Re
Source: the Alexandria database
Functional: PBE
Structure: optimized geometry

Results
**VASP energy**: -15.13 eV per cell
**ΔH_f (0 K)**: 0.71 eV per atom
**Theoretical density**: 5.6 g cm⁻³
**Offset from the most stable computed form**: 0.049 eV/atom

Cell: 2.849 3.877 7.702 Å, 90.00 90.00 90.00°
Atoms (fractional coordinates):
Sr: 0.000 0.000 0.000
Li: 0.000 0.000 0.568
Li: 0.500 0.500 0.382
Re: 0.500 0.500 0.730